Record 1
Entry from the Alexandria database: a geometry-optimized MnSb2Te structure (GGA-PBE).

Values from the calculation:
uncorrected formation energy: 0.236 eV/atom
spin magnetization: 0.08 μB per cell
space group: P4mm, No. 99
uncorrected energy: -4.903 eV per atom

```
data_MnSb2Te
_chemical_formula_sum 'Mn1 Sb2 Te1'
_symmetry_space_group_name_H-M 'P 1'
_symmetry_Int_Tables_number 1
_symmetry_space_group_name_Hall 'P 1'
_cell_length_a 3.148
_cell_length_b 3.148
_cell_length_c 9.389
_cell_angle_alpha 90.00
_cell_angle_beta 90.00
_cell_angle_gamma 90.00
loop_
_atom_site_label
_atom_site_fract_x
_atom_site_fract_y
_atom_site_fract_z
Sb1 0.500 0.500 0.231
Sb2 0.000 0.000 0.934
Te1 0.000 0.000 0.589
Mn1 0.500 0.500 0.747
```

Record 2
Entry from the Alexandria database: a geometry-optimized Mn2SbTe structure (GGA-PBE).

Values from the calculation:
uncorrected formation energy: 0.194 eV/atom
spin magnetization: 6.91 μB per cell
space group: Pmmm, No. 47
uncorrected energy: -6.207 eV per atom

```
data_Mn2SbTe
_chemical_formula_sum 'Mn2 Sb1 Te1'
_symmetry_space_group_name_H-M 'P 1'
_symmetry_Int_Tables_number 1
_symmetry_space_group_name_Hall 'P 1'
_cell_length_a 3.542
_cell_length_b 3.664
_cell_length_c 6.837
_cell_angle_alpha 89.99
_cell_angle_beta 90.00
_cell_angle_gamma 90.00
loop_
_atom_site_label
_atom_site_fract_x
_atom_site_fract_y
_atom_site_fract_z
Sb1 0.500 0.250 0.250
Mn1 0.000 0.750 0.443
Mn2 0.000 0.750 0.057
Te1 0.500 0.750 0.750
```

Record 3
Entry from the Alexandria database: a geometry-optimized MnSb2Te structure (GGA-PBE).

Values from the calculation:
uncorrected formation energy: 0.401 eV/atom
spin magnetization: 4.11 μB per cell
space group: F-43m, No. 216
uncorrected energy: -4.738 eV per atom

```
data_MnSb2Te
_chemical_formula_sum 'Mn1 Sb2 Te1'
_symmetry_space_group_name_H-M 'P 1'
_symmetry_Int_Tables_number 1
_symmetry_space_group_name_Hall 'P 1'
_cell_length_a 5.214
_cell_length_b 5.214
_cell_length_c 5.214
_cell_angle_alpha 60.00
_cell_angle_beta 60.00
_cell_angle_gamma 60.00
loop_
_atom_site_label
_atom_site_fract_x
_atom_site_fract_y
_atom_site_fract_z
Sb1 0.250 0.250 0.250
Sb2 0.000 0.000 0.000
Mn1 0.500 0.500 0.500
Te1 0.750 0.750 0.750
```

Record 4
Entry from the Alexandria database: a geometry-optimized MnSbTe3 structure (GGA-PBE).

Values from the calculation:
uncorrected formation energy: 0.442 eV/atom
spin magnetization: 0.00 μB per cell
space group: Pm-3m, No. 221
uncorrected energy: -4.101 eV per atom

```
data_MnSbTe3
_chemical_formula_sum 'Mn1 Sb1 Te3'
_symmetry_space_group_name_H-M 'P 1'
_symmetry_Int_Tables_number 1
_symmetry_space_group_name_Hall 'P 1'
_cell_length_a 5.049
_cell_length_b 5.049
_cell_length_c 5.049
_cell_angle_alpha 90.00
_cell_angle_beta 90.00
_cell_angle_gamma 90.00
loop_
_atom_site_label
_atom_site_fract_x
_atom_site_fract_y
_atom_site_fract_z
Te1 0.000 0.500 0.000
Te2 0.000 0.000 0.500
Te3 0.500 0.000 0.000
Mn1 0.000 0.000 0.000
Sb1 0.500 0.500 0.500
```

Record 5
Entry from the Alexandria database: a geometry-optimized Mn3SbTe structure (GGA-PBE).

Values from the calculation:
uncorrected formation energy: 0.784 eV/atom
spin magnetization: 14.00 μB per cell
space group: Pm-3m, No. 221
uncorrected energy: -6.171 eV per atom

```
data_Mn3SbTe
_chemical_formula_sum 'Mn3 Sb1 Te1'
_symmetry_space_group_name_H-M 'P 1'
_symmetry_Int_Tables_number 1
_symmetry_space_group_name_Hall 'P 1'
_cell_length_a 5.172
_cell_length_b 5.172
_cell_length_c 5.172
_cell_angle_alpha 90.00
_cell_angle_beta 90.00
_cell_angle_gamma 90.00
loop_
_atom_site_label
_atom_site_fract_x
_atom_site_fract_y
_atom_site_fract_z
Mn1 0.000 0.500 0.000
Mn2 0.500 0.000 0.000
Mn3 0.000 0.000 0.500
Sb1 0.000 0.000 0.000
Te1 0.500 0.500 0.500
```

Record 6
Entry from the Alexandria database: a geometry-optimized MnSb2Te structure (GGA-PBE).

Values from the calculation:
uncorrected formation energy: 0.192 eV/atom
spin magnetization: 0.41 μB per cell
space group: P4/mmm, No. 123
uncorrected energy: -4.947 eV per atom

```
data_MnSb2Te
_chemical_formula_sum 'Mn1 Sb2 Te1'
_symmetry_space_group_name_H-M 'P 1'
_symmetry_Int_Tables_number 1
_symmetry_space_group_name_Hall 'P 1'
_cell_length_a 3.149
_cell_length_b 3.149
_cell_length_c 9.570
_cell_angle_alpha 90.00
_cell_angle_beta 90.00
_cell_angle_gamma 90.00
loop_
_atom_site_label
_atom_site_fract_x
_atom_site_fract_y
_atom_site_fract_z
Sb1 0.000 0.000 0.582
Sb2 0.000 0.000 0.918
Mn1 0.500 0.500 0.750
Te1 0.500 0.500 0.250
```

Record 7
Entry from the Alexandria database: a geometry-optimized Mn2SbTe structure (GGA-PBE).

Values from the calculation:
uncorrected formation energy: 0.638 eV/atom
spin magnetization: 7.55 μB per cell
space group: F-43m, No. 216
uncorrected energy: -5.763 eV per atom

```
data_Mn2SbTe
_chemical_formula_sum 'Mn2 Sb1 Te1'
_symmetry_space_group_name_H-M 'P 1'
_symmetry_Int_Tables_number 1
_symmetry_space_group_name_Hall 'P 1'
_cell_length_a 4.954
_cell_length_b 4.954
_cell_length_c 4.954
_cell_angle_alpha 60.00
_cell_angle_beta 60.00
_cell_angle_gamma 60.00
loop_
_atom_site_label
_atom_site_fract_x
_atom_site_fract_y
_atom_site_fract_z
Mn1 0.000 0.000 0.000
Mn2 0.250 0.250 0.250
Te1 0.750 0.750 0.750
Sb1 0.500 0.500 0.500
```

Record 8
Entry from the Alexandria database: a geometry-optimized MnSb2Te structure (GGA-PBE).

Values from the calculation:
uncorrected formation energy: 0.134 eV/atom
spin magnetization: 3.65 μB per cell
space group: Imm2, No. 44
uncorrected energy: -5.005 eV per atom

```
data_MnSb2Te
_chemical_formula_sum 'Mn1 Sb2 Te1'
_symmetry_space_group_name_H-M 'P 1'
_symmetry_Int_Tables_number 1
_symmetry_space_group_name_Hall 'P 1'
_cell_length_a 6.930
_cell_length_b 6.930
_cell_length_c 6.930
_cell_angle_alpha 148.52
_cell_angle_beta 141.47
_cell_angle_gamma 50.57
loop_
_atom_site_label
_atom_site_fract_x
_atom_site_fract_y
_atom_site_fract_z
Sb1 0.742 0.242 0.500
Sb2 0.082 0.082 0.000
Mn1 0.257 0.757 0.500
Te1 0.420 0.420 0.000
```

Record 9
Entry from the Alexandria database: a geometry-optimized Mn2SbTe structure (GGA-PBE).

Values from the calculation:
uncorrected formation energy: 0.152 eV/atom
spin magnetization: 0.00 μB per cell
space group: P-6m2, No. 187
uncorrected energy: -6.249 eV per atom

```
data_Mn2SbTe
_chemical_formula_sum 'Mn2 Sb1 Te1'
_symmetry_space_group_name_H-M 'P 1'
_symmetry_Int_Tables_number 1
_symmetry_space_group_name_Hall 'P 1'
_cell_length_a 4.106
_cell_length_b 4.106
_cell_length_c 4.837
_cell_angle_alpha 90.00
_cell_angle_beta 90.00
_cell_angle_gamma 120.00
loop_
_atom_site_label
_atom_site_fract_x
_atom_site_fract_y
_atom_site_fract_z
Te1 0.667 0.333 0.750
Mn1 0.000 0.000 0.499
Mn2 0.000 0.000 0.001
Sb1 0.333 0.667 0.250
```

Record 10
Entry from the Alexandria database: a geometry-optimized MnSb2Te structure (GGA-PBE).

Values from the calculation:
uncorrected formation energy: 0.374 eV/atom
spin magnetization: 4.38 μB per cell
space group: P4/mmm, No. 123
uncorrected energy: -4.765 eV per atom

```
data_MnSb2Te
_chemical_formula_sum 'Mn1 Sb2 Te1'
_symmetry_space_group_name_H-M 'P 1'
_symmetry_Int_Tables_number 1
_symmetry_space_group_name_Hall 'P 1'
_cell_length_a 5.911
_cell_length_b 4.226
_cell_length_c 4.226
_cell_angle_alpha 90.00
_cell_angle_beta 90.00
_cell_angle_gamma 90.00
loop_
_atom_site_label
_atom_site_fract_x
_atom_site_fract_y
_atom_site_fract_z
Sb1 0.000 0.000 0.000
Sb2 0.000 0.500 0.500
Te1 0.500 0.500 0.000
Mn1 0.500 0.000 0.500
```

Record 11
Entry from the Alexandria database: a geometry-optimized MnSbTe structure (GGA-PBE).

Values from the calculation:
uncorrected formation energy: 0.142 eV/atom
spin magnetization: 3.17 μB per cell
space group: Imm2, No. 44
uncorrected energy: -5.336 eV per atom

```
data_MnSbTe
_chemical_formula_sum 'Mn1 Sb1 Te1'
_symmetry_space_group_name_H-M 'P 1'
_symmetry_Int_Tables_number 1
_symmetry_space_group_name_Hall 'P 1'
_cell_length_a 7.194
_cell_length_b 7.194
_cell_length_c 7.194
_cell_angle_alpha 150.81
_cell_angle_beta 155.63
_cell_angle_gamma 38.38
loop_
_atom_site_label
_atom_site_fract_x
_atom_site_fract_y
_atom_site_fract_z
Te1 0.626 0.626 0.000
Sb1 0.374 0.374 0.000
Mn1 0.000 0.000 0.000
```

Record 12
Entry from the Alexandria database: a geometry-optimized MnSb2Te structure (GGA-PBE).

Values from the calculation:
uncorrected formation energy: 0.201 eV/atom
spin magnetization: 2.27 μB per cell
space group: R-3m, No. 166
uncorrected energy: -4.938 eV per atom

```
data_MnSb2Te
_chemical_formula_sum 'Mn1 Sb2 Te1'
_symmetry_space_group_name_H-M 'P 1'
_symmetry_Int_Tables_number 1
_symmetry_space_group_name_Hall 'P 1'
_cell_length_a 9.384
_cell_length_b 9.384
_cell_length_c 9.384
_cell_angle_alpha 21.38
_cell_angle_beta 21.38
_cell_angle_gamma 21.38
loop_
_atom_site_label
_atom_site_fract_x
_atom_site_fract_y
_atom_site_fract_z
Sb1 0.019 0.019 0.019
Sb2 0.481 0.481 0.481
Te1 0.250 0.250 0.250
Mn1 0.750 0.750 0.750
```